# 1
Density functional theory data (GGA-PBE) for NaSc2ZnSb after structural relaxation.

The structure in extended XYZ format:
```
5
Lattice="5.182 0.000 0.000 0.000 5.082 0.000 0.000 0.000 5.182" Properties=species:S:1:pos:R:3 pbc="T T T"
Sc 0.000 0.000 2.591
Sc 2.591 0.000 0.000
Na 0.000 0.000 0.000
Sb 0.000 2.541 0.000
Zn 2.591 2.541 2.591
```

Results
electronic total energy = -15.26 eV per formula unit
formation energy (no corrections) = 0.82 eV/atom
volume = 27.29 A^3/atom



# 2
Density functional theory data (GGA-PBE) for Tb4CdNi after structural relaxation.

The structure in extended XYZ format:
```
12
Lattice="6.941 0.000 -0.317 0.000 7.242 0.000 -0.426 0.000 7.010" Properties=species:S:1:pos:R:3 pbc="T T T"
Cd 3.470 3.621 -0.159
Cd 0.000 0.000 0.000
Tb 0.367 2.571 5.724
Tb 1.064 5.999 4.462
Tb 4.535 4.865 4.303
Tb 2.678 6.192 1.128
Tb 5.451 1.244 2.231
Tb 1.981 2.377 2.390
Tb 6.148 4.671 0.969
Tb 3.837 1.050 5.565
Ni 3.258 0.000 3.347
Ni -0.213 3.621 3.505
```

Results
electronic total energy = -25.63 eV per formula unit
relative energy among the computed polymorphs = 0.224 eV/atom
ΔE_f = -0.0690 eV/atom
volume = 29.28 A^3/atom



# 3
Density functional theory data (GGA-PBE) for KSc2S3 after structural relaxation.

The structure in extended XYZ format:
```
12
Lattice="4.058 0.000 0.000 -2.029 7.311 0.000 0.000 0.000 10.231" Properties=species:S:1:pos:R:3 pbc="T T T"
S 0.000 5.578 5.593
S 2.029 1.733 4.638
S 0.000 0.850 7.673
S 0.000 5.578 9.754
S 2.029 1.733 0.477
S 2.029 6.461 2.558
Sc 0.000 0.000 5.115
Sc 0.000 0.000 0.000
Sc 0.000 6.790 7.673
Sc 2.029 0.521 2.558
K 2.029 3.439 7.673
K 0.000 3.872 2.558
```

Results
electronic total energy = -35.98 eV per formula unit
relative energy among the computed polymorphs = 0.025 eV/atom
formation energy (no corrections) = -1.64 eV/atom
volume = 25.29 A^3/atom



# 4
Density functional theory data (GGA-PBE) for SnPS after structural relaxation.

The structure in extended XYZ format:
```
3
Lattice="4.352 0.179 0.243 2.039 3.831 0.216 1.891 1.220 4.924" Properties=species:S:1:pos:R:3 pbc="T T T"
P 3.224 2.552 3.591
S 1.220 1.259 0.741
Sn 5.411 3.912 2.612
```

Results
electronic total energy = -13.61 eV per formula unit
relative energy among the computed polymorphs = 0.000 eV/atom
formation energy (no corrections) = -0.02 eV/atom
volume = 26.02 A^3/atom



# 5
Density functional theory data (GGA-PBE) for PrEr4Tm3 after structural relaxation.

The structure in extended XYZ format:
```
16
Lattice="-5.084 3.568 -0.389 -3.232 -5.043 -4.018 -4.058 -4.773 9.255" Properties=species:S:1:pos:R:3 pbc="T T T"
Er -8.424 -0.691 6.039
Er -8.334 -6.292 3.256
Er -6.415 1.672 1.457
Er -3.576 -3.890 -3.575
Er -6.284 -3.882 -1.417
Er -5.617 -6.277 1.048
Er -5.721 -0.707 3.875
Er -3.696 1.691 -0.749
Tm -10.056 -3.236 4.042
Tm -8.028 -0.850 -0.583
Tm -6.700 -3.749 5.253
Tm -3.985 -3.747 3.068
Tm -4.670 -1.361 0.623
Tm -5.313 -0.850 -2.768
Pr -1.955 -1.362 -1.560
Pr -7.341 -3.237 1.860
```

Results
electronic total energy = -36.41 eV per formula unit
relative energy among the computed polymorphs = 0.000 eV/atom
ΔE_f = 0.0044 eV/atom
volume = 31.35 A^3/atom



# 6
Density functional theory data (GGA-PBE) for Ba12NaPb4O3 after structural relaxation.

The structure in extended XYZ format:
```
20
Lattice="9.960 0.000 0.000 -3.320 9.390 0.000 -3.320 -4.695 8.132" Properties=species:S:1:pos:R:3 pbc="T T T"
O -3.320 2.348 4.066
O 3.320 4.695 0.000
O 3.320 -2.348 4.066
Na 0.000 0.000 0.000
Ba 1.660 5.869 2.033
Ba 4.980 0.000 4.066
Ba 4.795 -3.390 5.872
Ba -1.660 4.695 4.066
Ba 1.845 2.610 0.000
Ba -1.660 1.174 6.099
Ba -4.795 3.390 5.872
Ba -1.845 1.305 2.260
Ba 4.980 3.521 2.033
Ba 1.660 -1.174 6.099
Ba 1.845 -1.305 2.260
Ba 4.795 6.781 0.000
Pb 4.980 0.000 0.000
Pb -1.660 -2.348 4.066
Pb -1.660 4.695 0.000
Pb 1.660 2.348 4.066
```

Results
electronic total energy = -72.70 eV per formula unit
formation energy (no corrections) = -0.93 eV/atom
volume = 38.03 A^3/atom